Compound: TePb2Se
Source: Alexandria
Functional: PBE
Structure: optimized geometry

Output
Formation energy (no corrections) ... -44.3 kJ per mole of atoms
DFT total energy ... -3.970 eV/atom
Symmetry ... Pm (6)
E above lowest polymorph ... 21 meV per atom

Cell: 4.513 6.390 4.590 Å, 90.00 90.03 90.00°
Fractional positions:
Te  0.000  0.000  0.000
Pb  0.000  0.500  0.069
Pb  0.500  0.000  0.513
Se  0.501  0.500  0.501



Compound: PrAlAgPd
Source: Alexandria
Functional: PBE
Structure: optimized geometry

Output
DFT total energy ... -4.577 eV/atom
Energy relative to the elements ... -435 meV per atom
Symmetry ... F-43m (216)
N(E_F) ... 16.40 states/eV/cell

Cell: 6.935 6.935 6.935 Å, 90.00 90.00 90.00°
Fractional positions:
Pr  0.000  0.000  0.000
Pr  0.000  0.500  0.500
Pr  0.500  0.000  0.500
Pr  0.500  0.500  0.000
Al  0.000  0.000  0.500
Al  0.000  0.500  0.000
Al  0.500  0.000  0.000
Al  0.500  0.500  0.500
Ag  0.250  0.250  0.250
Ag  0.250  0.750  0.750
Ag  0.750  0.250  0.750
Ag  0.750  0.750  0.250
Pd  0.250  0.250  0.750
Pd  0.250  0.750  0.250
Pd  0.750  0.250  0.250
Pd  0.750  0.750  0.750